## MgCo4 (PBE)

Data for a relaxed MgCo4 crystal.

Calculated values
space-group type	Pm-3m, No. 221
ρ	5.6	g/cm3
relative energy among the computed polymorphs	1541.2	meV per atom
ΔE_f	1.670	eV per atom
D(E_F)	5.484	states/eV per cell

abc: 4.247 4.247 4.247
angles: 90.00 90.00 90.00
Atoms (fractional coordinates):
Mg 0.000 0.000 0.000
Co 0.000 0.000 0.500
Co 0.000 0.500 0.000
Co 0.500 0.000 0.000
Co 0.500 0.500 0.500